{
  "formula": "Cr2TcAs",
  "functional": "PBE",
  "state": "optimized geometry",
  "total_magnetization_mub_per_fu": 0.0,
  "e_tot_ev_per_cell": -32.9,
  "cell": [[1.518, -2.250, 0.000], [1.518, 2.250, 0.000], [0.000, 0.000, 8.008]],
  "species": ["Cr", "Cr", "Tc", "As"],
  "frac_coords": [[0.000, 0.000, 0.000], [0.500, 0.500, 0.227], [0.500, 0.500, 0.752], [0.000, 0.000, 0.474]]
}